No. 1
Compound: BaNaS2N
Source: Alexandria
Functional: PBE
Structure: relaxed

Calculated values
Uncorrected energy ... -3.8778 eV per atom
M_tot ... 4.0 μB per formula unit
Formation energy without anion corrections ... 87 meV per atom
Polymorph energy (0 for the lowest one) ... 0 kJ/mol of formula units

Cell lengths 5.2004, 5.2004, 4.6060 Å; angles 90.00, 90.00, 90.00 degrees
Last column: nearest neighbours and their distance in Å.
Sites, in units of the cell vectors:
1 Ba 0.0000 0.0000 0.0000  8 S 3.47, 4 N 3.68
2 Na 0.5000 0.5000 0.5000  2 N 2.30
3 S 0.0000 0.5000 0.5000  2 Na 2.60
4 S 0.5000 0.0000 0.5000  2 Na 2.60
5 N 0.5000 0.5000 0.0000  2 Na 2.30

No. 2
Compound: TaCuMo2
Source: Alexandria
Functional: PBE
Structure: relaxed

Calculated values
Uncorrected energy ... -9.2923 eV per atom
M_tot ... 0.0 μB per formula unit
Energy of formation ... 0.11 eV/atom
Polymorph energy (0 for the lowest one) ... 16 kJ/mol of formula units

Cell lengths 2.7121, 2.7121, 8.8353 Å; angles 90.00, 90.00, 105.83 degrees
Last column: nearest neighbours and their distance in Å.
Sites, in units of the cell vectors:
1 Ta 0.0000 0.0000 0.0000  4 Ta 2.71, 4 Mo 2.84
2 Cu 0.0000 0.0000 0.5000  4 Mo 2.66, 4 Cu 2.71
3 Mo 0.5000 0.5000 0.2629  2 Cu 2.66, 4 Mo 2.71, 2 Ta 2.84
4 Mo 0.5000 0.5000 0.7371  2 Cu 2.66, 4 Mo 2.71, 2 Ta 2.84

No. 3
Compound: La4CoTe2
Source: Alexandria
Functional: PBE
Structure: relaxed

Calculated values
Uncorrected energy ... -5.6002 eV per atom
M_tot ... 0.0 μB per formula unit
Formation energy without anion corrections ... -872 meV per atom

Cell lengths 9.5878, 9.5878, 9.5878 Å; angles 150.20, 150.20, 42.64 degrees
Last column: nearest neighbours and their distance in Å.
Sites, in units of the cell vectors:
1 La 0.0000 0.5000 0.5000  2 Co 2.46
2 La 0.1718 0.1718 0.0000  1 Co 3.07, 1 Te 3.35
3 La 0.5000 0.0000 0.5000  2 Co 2.46
4 La 0.8282 0.8282 0.0000  1 Co 3.07, 1 Te 3.35
5 Co 0.0000 0.0000 0.0000  4 La 2.46
6 Te 0.3596 0.3596 0.0000  9 La 3.35-3.53
7 Te 0.6404 0.6404 0.0000  9 La 3.35-3.53

No. 4
Compound: Dy8CuGe3Te4
Source: Alexandria
Functional: PBE
Structure: relaxed

Calculated values
Uncorrected energy ... -5.2581 eV per atom
M_tot ... 0.0 μB per formula unit
Formation energy without anion corrections ... -1050 meV per atom

Cell lengths 8.6013, 8.6013, 8.6013 Å; angles 58.73, 58.73, 58.73 degrees
Last column: nearest neighbours and their distance in Å.
Sites, in units of the cell vectors:
1 Dy 0.2367 0.7434 0.7434  2 Ge 2.89, 1 Cu 2.93, 3 Te 3.10-3.14
2 Dy 0.2399 0.2399 0.2399  3 Ge 2.89, 3 Te 3.14
3 Dy 0.2566 0.2566 0.7633  2 Ge 2.89, 1 Cu 2.93, 3 Te 3.10-3.14
4 Dy 0.2566 0.7633 0.2566  2 Ge 2.89, 1 Cu 2.93, 3 Te 3.10-3.14
5 Dy 0.7434 0.2367 0.7434  2 Ge 2.89, 1 Cu 2.93, 3 Te 3.10-3.14
6 Dy 0.7434 0.7434 0.2367  2 Ge 2.89, 1 Cu 2.93, 3 Te 3.10-3.14
7 Dy 0.7601 0.7601 0.7601  3 Ge 2.89, 3 Te 3.14
8 Dy 0.7633 0.2566 0.2566  2 Ge 2.89, 1 Cu 2.93, 3 Te 3.10-3.14
9 Cu 0.5000 0.5000 0.5000  6 Dy 2.93
10 Ge 0.0000 0.0000 0.5000  6 Dy 2.89
11 Ge 0.0000 0.5000 0.0000  6 Dy 2.89
12 Ge 0.5000 0.0000 0.0000  6 Dy 2.89
13 Te 0.0000 0.0000 0.0000  6 Dy 3.10
14 Te 0.0000 0.5000 0.5000  6 Dy 3.14
15 Te 0.5000 0.0000 0.5000  6 Dy 3.14
16 Te 0.5000 0.5000 0.0000  6 Dy 3.14

No. 5
Compound: U2Ni5Ge3
Source: Alexandria
Functional: PBE
Structure: relaxed

Calculated values
Uncorrected energy ... -6.8530 eV per atom
M_tot ... 3.8 μB per formula unit
Energy of formation ... -0.32 eV/atom
Polymorph energy (0 for the lowest one) ... 5 kJ/mol of formula units

Cell lengths 7.9313, 7.9313, 7.9313 Å; angles 99.20, 95.45, 138.17 degrees
Last column: nearest neighbours and their distance in Å.
Sites, in units of the cell vectors:
1 U 0.1254 0.2364 0.3618  4 Ni 2.78-3.04, 4 Ge 2.97-3.08
2 U 0.3746 0.7364 0.1111  4 Ni 2.78-3.04, 4 Ge 2.97-3.08
3 U 0.6254 0.2636 0.8889  4 Ni 2.78-3.04, 4 Ge 2.97-3.08
4 U 0.8746 0.7636 0.6382  4 Ni 2.78-3.04, 4 Ge 2.97-3.08
5 Ni 0.0181 0.7500 0.2681  3 Ge 2.35-2.47, 2 Ni 2.48
6 Ni 0.1138 0.6562 0.7700  3 Ge 2.33-2.46, 2 Ni 2.48
7 Ni 0.2500 0.2500 0.0000  4 Ge 2.35
8 Ni 0.3862 0.1562 0.5425  3 Ge 2.33-2.46, 2 Ni 2.48
9 Ni 0.4819 0.7500 0.7319  3 Ge 2.35-2.47, 2 Ni 2.48
10 Ni 0.5181 0.2500 0.2681  3 Ge 2.35-2.47, 2 Ni 2.48
11 Ni 0.6138 0.8438 0.4575  3 Ge 2.33-2.46, 2 Ni 2.48
12 Ni 0.7500 0.7500 0.0000  4 Ge 2.35
13 Ni 0.8862 0.3438 0.2300  3 Ge 2.33-2.46, 2 Ni 2.48
14 Ni 0.9819 0.2500 0.7319  3 Ge 2.35-2.47, 2 Ni 2.48
15 Ge 0.1340 0.8819 0.0158  5 Ni 2.33-2.35
16 Ge 0.2500 0.7500 0.5000  6 Ni 2.46-2.47
17 Ge 0.3660 0.3819 0.7479  5 Ni 2.33-2.35
18 Ge 0.6340 0.6181 0.2521  5 Ni 2.33-2.35
19 Ge 0.7500 0.2500 0.5000  6 Ni 2.46-2.47
20 Ge 0.8660 0.1181 0.9842  5 Ni 2.33-2.35

No. 6
Compound: CaNiP
Source: Alexandria
Functional: PBE
Structure: relaxed

Calculated values
Uncorrected energy ... -4.7814 eV per atom
M_tot ... 0.0 μB per formula unit
Energy of formation ... -0.38 eV/atom

Cell lengths 5.5377, 5.5377, 5.5377 Å; angles 146.28, 146.28, 48.43 degrees
Last column: nearest neighbours and their distance in Å.
Sites, in units of the cell vectors:
1 Ca 0.0000 0.0000 0.0000  1 Ni 2.82, 5 P 2.93-3.11
2 Ni 0.2791 0.2791 0.0000  4 P 2.38
3 P 0.7099 0.7099 0.0000  4 Ni 2.38